(1)
# GGA-PBEsol Fe3Rh4, optimized geometry
# Total energy ... -118.333 eV for the cell shown
data_Fe3Rh4
_symmetry_space_group_name_H-M 'I 4/m m m'
_symmetry_Int_Tables_number 139
_symmetry_space_group_name_Hall '-I 4 2'
_cell_length_a 2.654
_cell_length_b 2.654
_cell_length_c 24.793
_cell_angle_alpha 90.00
_cell_angle_beta 90.00
_cell_angle_gamma 90.00
loop_
_atom_site_label
_atom_site_fract_x
_atom_site_fract_y
_atom_site_fract_z
Fe1 0.000 0.000 0.000
Fe2 0.000 0.000 0.282
Rh1 0.000 0.000 0.148
Rh2 0.000 0.000 0.430



(2)
# GGA-PBEsol Sm2MgPtO6, optimized geometry
# Total energy ... -151.299 eV for the cell shown
# Formation energy without anion corrections ... -2.53 eV/atom
data_Sm2MgPtO6
_symmetry_space_group_name_H-M 'P 1 21/c 1'
_symmetry_Int_Tables_number 14
_cell_length_a 5.366
_cell_length_b 5.700
_cell_length_c 9.366
_cell_angle_alpha 90.00
_cell_angle_beta 124.53
_cell_angle_gamma 90.00
loop_
_symmetry_equiv_pos_as_xyz
'x,y,z'
'-x,-y,-z'
'-x,y+1/2,-z+1/2'
'x,-y+1/2,z+1/2'
loop_
_atom_site_label
_atom_site_fract_x
_atom_site_fract_y
_atom_site_fract_z
Sm1 0.230 0.069 0.250
Mg1 0.500 0.000 0.000
Pt1 0.000 0.000 0.500
O1 0.135 0.201 0.945
O2 0.251 0.697 0.946
O3 0.355 0.036 0.748



(3)
# GGA-PBEsol RbY3Tc, optimized geometry
# Total energy ... -31.107 eV for the cell shown
data_RbY3Tc
_symmetry_space_group_name_H-M 'P m -3 m'
_symmetry_Int_Tables_number 221
_symmetry_space_group_name_Hall '-P 4 2 3'
_cell_length_a 5.484
_cell_length_b 5.484
_cell_length_c 5.484
_cell_angle_alpha 90.00
_cell_angle_beta 90.00
_cell_angle_gamma 90.00
loop_
_atom_site_label
_atom_site_fract_x
_atom_site_fract_y
_atom_site_fract_z
Rb1 0.000 0.000 0.000
Y1 0.000 0.500 0.500
Tc1 0.500 0.500 0.500



(4)
# GGA-PBEsol ReRuRh2, optimized geometry
# Total energy ... -40.187 eV for the cell shown
# Energy above the lowest structure with this stoichiometry ... 0 meV/atom
data_ReRuRh2
_symmetry_space_group_name_H-M 'P m m 2'
_symmetry_Int_Tables_number 25
_cell_length_a 2.690
_cell_length_b 4.290
_cell_length_c 4.719
_cell_angle_alpha 90.00
_cell_angle_beta 90.00
_cell_angle_gamma 90.00
loop_
_symmetry_equiv_pos_as_xyz
'x,y,z'
'-x,-y,z'
'-x,y,z'
'x,-y,z'
loop_
_atom_site_label
_atom_site_fract_x
_atom_site_fract_y
_atom_site_fract_z
Re1 0.000 0.000 0.000
Ru1 0.000 0.500 0.324
Rh1 0.500 0.000 0.495
Rh2 0.500 0.500 0.824